Entry 1:
Compound: K2BaAg2F7
Source: the Alexandria database
Functional: PBE
Structure: optimized geometry

Geometry as POSCAR:
```
K2BaAg2F7
1.0
3.2437 -3.1193 0.0000
3.2437 3.1193 0.0000
-3.1303 0.0000 11.1554
K Ba Ag F
2 1 2 7
direct
0.1413 0.1413 0.3685
0.8587 0.8587 0.6315
0.0000 0.0000 0.0000
0.4017 0.4017 0.7963
0.5983 0.5983 0.2037
0.0809 0.5844 0.1649
0.2609 0.2609 0.5958
0.4156 0.9191 0.8351
0.5000 0.5000 0.0000
0.5844 0.0809 0.1649
0.7391 0.7391 0.4042
0.9191 0.4156 0.8351
```

Computed properties:
Density in g/cm³: 4.2
E_form (uncorrected) in eV per atom: -2.297

=====

Entry 2:
Compound: KBaAg2F8
Source: the Alexandria database
Functional: PBE
Structure: optimized geometry

Geometry as POSCAR:
```
KBaAg2F8
1.0
-3.1281 3.1281 5.1768
3.1281 -3.1281 5.1768
3.1281 3.1281 -5.1768
K Ba Ag F
1 1 2 8
direct
0.0000 0.0000 0.0000
0.2500 0.7500 0.5000
0.5000 0.5000 0.0000
0.7500 0.2500 0.5000
0.0431 0.3561 0.9260
0.2048 0.4209 0.5982
0.3934 0.7952 0.2161
0.4301 0.1171 0.0740
0.5791 0.1773 0.7839
0.6439 0.5699 0.6869
0.8227 0.6066 0.4018
0.8829 0.9569 0.3131
```

Computed properties:
Density in g/cm³: 4.5
E_form (uncorrected) in eV per atom: -2.072

=====

Entry 3:
Compound: Ba2LiAgF6
Source: the Alexandria database
Functional: PBE
Structure: optimized geometry

Geometry as POSCAR:
```
Ba2LiAgF6
1.0
5.7810 0.0000 0.0000
0.0000 8.5313 0.0000
0.0000 0.0000 6.6497
Ba Li Ag F
4 2 2 12
direct
0.2500 0.0204 0.2020
0.2500 0.4796 0.2020
0.7500 0.5204 0.7980
0.7500 0.9796 0.7980
0.2500 0.7500 0.7842
0.7500 0.2500 0.2158
0.2500 0.2500 0.6894
0.7500 0.7500 0.3106
0.0075 0.7500 0.0187
0.0103 0.2500 0.4053
0.2500 0.5168 0.8099
0.2500 0.9832 0.8099
0.4897 0.2500 0.4053
0.4925 0.7500 0.0187
0.5075 0.2500 0.9813
0.5103 0.7500 0.5947
0.7500 0.0168 0.1901
0.7500 0.4832 0.1901
0.9897 0.7500 0.5947
0.9925 0.2500 0.9813
```

Computed properties:
Density in g/cm³: 5.1
E_form (uncorrected) in eV per atom: -2.981

=====

Entry 4:
Compound: BaLi2AgF
Source: the Alexandria database
Functional: PBE
Structure: optimized geometry

Geometry as POSCAR:
```
BaLi2AgF
1.0
4.5029 0.0000 0.0000
0.0000 4.5029 0.0000
0.0000 0.0000 5.5615
Ba Li Ag F
1 2 1 1
direct
0.0000 0.0000 0.0000
0.0000 0.5000 0.5000
0.5000 0.0000 0.5000
0.5000 0.5000 0.0000
0.0000 0.0000 0.5000
```

Computed properties:
Density in g/cm³: 4.1
E_form (uncorrected) in eV per atom: -1.049

=====

Entry 5:
Compound: BaLiAg2F8
Source: the Alexandria database
Functional: PBE
Structure: optimized geometry

Geometry as POSCAR:
```
BaLiAg2F8
1.0
-2.9708 2.9708 4.9740
2.9708 -2.9708 4.9740
2.9708 2.9708 -4.9740
Ba Li Ag F
1 1 2 8
direct
0.0000 0.0000 0.0000
0.2500 0.7500 0.5000
0.5000 0.5000 0.0000
0.7500 0.2500 0.5000
0.0425 0.4145 0.9959
0.1891 0.4327 0.6030
0.4139 0.8109 0.2435
0.4186 0.0466 0.0041
0.5673 0.1703 0.7565
0.5855 0.5814 0.6280
0.8297 0.5861 0.3970
0.9534 0.9575 0.3720
```

Computed properties:
Density in g/cm³: 4.8
E_form (uncorrected) in eV per atom: -2.018

=====

Entry 6:
Compound: BaLiAgF6
Source: the Alexandria database
Functional: PBE
Structure: optimized geometry

Geometry as POSCAR:
```
BaLiAgF6
1.0
5.5051 0.0000 0.0000
-2.7526 4.7676 0.0000
0.0000 0.0000 5.6744
Ba Li Ag F
1 1 1 6
direct
0.0000 0.0000 0.0000
0.3333 0.6667 0.5000
0.6667 0.3333 0.5000
0.0046 0.3748 0.7084
0.0046 0.6299 0.2916
0.3701 0.3748 0.2916
0.3701 0.9954 0.7084
0.6252 0.6299 0.7084
0.6252 0.9954 0.2916
```

Computed properties:
Density in g/cm³: 4.1
E_form (uncorrected) in eV per atom: -2.400

=====

Entry 7:
Compound: BaLi4Ag3F12
Source: the Alexandria database
Functional: PBE
Structure: optimized geometry

Geometry as POSCAR:
```
BaLi4Ag3F12
1.0
-3.9520 3.9520 3.9520
3.9520 -3.9520 3.9520
3.9520 3.9520 -3.9520
Ba Li Ag F
1 4 3 12
direct
0.0000 0.0000 0.0000
0.0000 0.0000 0.5000
0.0000 0.5000 0.0000
0.5000 0.0000 0.0000
0.5000 0.5000 0.5000
0.0000 0.5000 0.5000
0.5000 0.0000 0.5000
0.5000 0.5000 0.0000
0.1166 0.8155 0.3011
0.1845 0.3011 0.4856
0.1845 0.6989 0.8834
0.3011 0.1166 0.8155
0.3011 0.4856 0.1845
0.4856 0.1845 0.3011
0.5144 0.8155 0.6989
0.6989 0.5144 0.8155
0.6989 0.8834 0.1845
0.8155 0.3011 0.1166
0.8155 0.6989 0.5144
0.8834 0.1845 0.6989
```

Computed properties:
Density in g/cm³: 4.8
E_form (uncorrected) in eV per atom: -2.283

=====

Entry 8:
Compound: BaLiAg2F6
Source: the Alexandria database
Functional: PBE
Structure: optimized geometry

Geometry as POSCAR:
```
BaLiAg2F6
1.0
5.8739 0.0000 0.0000
0.0000 5.9856 0.0000
-4.3355 0.0000 9.2512
Ba Li Ag F
2 2 4 12
direct
0.0000 0.0000 0.0000
0.0000 0.5000 0.5000
0.5000 0.0000 0.5000
0.5000 0.5000 0.0000
0.2734 0.0026 0.7342
0.2734 0.4974 0.2342
0.7266 0.5026 0.7658
0.7266 0.9974 0.2658
0.0022 0.2454 0.2504
0.0022 0.2546 0.7504
0.3853 0.7311 0.0951
0.3853 0.7689 0.5951
0.3883 0.2341 0.5951
0.3883 0.2659 0.0951
0.6117 0.7341 0.9049
0.6117 0.7659 0.4049
0.6147 0.2311 0.4049
0.6147 0.2689 0.9049
0.9978 0.7454 0.2496
0.9978 0.7546 0.7496
```

Computed properties:
Density in g/cm³: 4.8
E_form (uncorrected) in eV per atom: -2.217